The following is a DFT calculation (PBE) of a relaxed Cs3BaGe2Br9 crystal.

The structure in CIF format:
```
data_Cs3BaGe2Br9
_chemical_formula_sum 'Cs3 Ba1 Ge2 Br9'
_cell_length_a 8.1749
_cell_length_b 8.1749
_cell_length_c 10.4661
_cell_angle_alpha 90.00
_cell_angle_beta 90.00
_cell_angle_gamma 120.00
_symmetry_space_group_name_H-M 'P -3 m 1'
_symmetry_Int_Tables_number 164
_symmetry_space_group_name_Hall '-P 3 2"'
loop_
_atom_site_label
_atom_site_type_symbol
_atom_site_fract_x
_atom_site_fract_y
_atom_site_fract_z
_atom_site_occupancy
Cs1 Cs 0.0000 0.0000 0.0000 1
Cs2 Cs 0.3333 0.6667 0.7145 1
Ba1 Ba 0.0000 0.0000 0.5000 1
Ge1 Ge 0.3333 0.6667 0.1557 1
Br1 Br 0.0000 0.5000 0.0000 1
Br2 Br 0.1744 0.3489 0.3099 1
```

Output
The calculation puts the total DFT energy (no corrections) at -0.121 hartree per atom. The calculation puts the formation energy (no corrections) at -1.385 eV/atom. Its crystal system is trigonal.